PBE-GGA Mg4In4Pb3, optimized geometry; excess energy over the best structure of this formula in the dataset = 0.00 eV/f.u.; E_tot = -0.191 Ry per atom
1.0
3.4447 0.0147 -0.5594
-0.5234 8.0706 -3.5007
-0.1104 0.2809 10.3862
Mg In Pb
4 4 3
Cartesian
0.4992 5.6824 2.8092
1.3421 6.5820 -2.8333
1.4687 1.7843 9.1594
2.3117 2.6838 3.5170
0.8852 4.3943 5.6082
0.9559 1.1364 6.0410
1.8549 7.2298 0.2851
1.9256 3.9720 0.7179
0.2600 0.9990 1.7785
2.5508 7.3672 4.5476
-0.2617 4.0353 -1.7503

***

PBE-GGA Mg2Ni2Pd, optimized geometry; excess energy over the best structure of this formula in the dataset = 0.35 eV/f.u.; E_tot = -0.304 Ry per atom
1.0
3.2539 0.0000 0.0000
0.0000 3.2539 0.0000
1.6269 1.6269 7.4431
Ni Pd Mg
2 1 2
Cartesian
3.2539 1.6269 3.7216
1.6269 3.2539 3.7216
0.0000 0.0000 0.0000
1.6269 1.6269 1.5858
3.2539 3.2539 5.8573

***

PBE-GGA PmPrN, optimized geometry; excess energy over the best structure of this formula in the dataset = 0.08 eV/f.u.; E_form (uncorrected) = -0.854 eV per atom; E_tot = -0.500 Ry per atom
1.0
3.6305 0.0000 0.0000
1.8152 3.1441 0.0000
1.8152 1.0480 12.9288
Pr Pm N
2 2 2
Cartesian
5.4457 3.1441 8.3225
1.8152 1.0480 4.6063
1.8152 1.0480 11.0920
5.4457 3.1441 1.8368
3.6305 2.0960 3.1242
3.6305 2.0961 9.8046

***

PBE-GGA Ac3Zn6GaRu2, optimized geometry; E_tot = -0.256 Ry per atom
1.0
-1.6106 -3.0167 5.3633
2.6070 -3.2413 -4.8122
7.1887 1.4042 2.9486
Zn Ac Ga Ru
6 3 1 2
Cartesian
4.8790 -3.4939 3.2718
3.7149 -3.9274 0.4540
3.8094 -2.1641 5.2461
4.4702 -0.9264 3.0457
4.3757 -2.6897 -1.7464
3.3061 -1.3599 0.2279
6.7488 -2.0828 0.8551
1.4363 -2.7710 2.6446
0.0000 0.0000 0.0000
3.5944 0.7021 1.4743
6.1993 -1.8406 4.5982
1.9858 -3.0132 -1.0985

***

PBE-GGA Zn3Se, optimized geometry; excess energy over the best structure of this formula in the dataset = 0.94 eV/f.u.; E_form (uncorrected) = 0.068 eV per atom; E_tot = -0.129 Ry per atom
1.0
-1.6996 -0.9786 -5.4652
-3.9549 -1.8430 3.8309
-2.1498 4.3748 -0.1148
Se Zn
2 6
Cartesian
-4.3895 1.8895 -1.1098
-3.4148 -0.3363 -0.6392
-4.2153 -0.6431 2.6601
-5.5148 -1.3418 0.3686
-2.0470 0.3886 1.3708
-5.7573 1.1646 -3.1198
-3.5890 2.1963 -4.4092
-2.2895 2.8950 -2.1176

***

PBE-GGA YTl2Pt2, optimized geometry; excess energy over the best structure of this formula in the dataset = 0.00 eV/f.u.; E_tot = -0.372 Ry per atom
1.0
-1.9201 1.6678 3.2949
-3.6606 -1.3504 -1.4496
-2.0075 -5.5612 4.2742
Y Pt Tl
1 2 2
Cartesian
0.0000 0.0000 0.0000
-4.9483 -4.3032 4.5527
-2.6399 -0.9405 1.5667
-4.2292 -3.3764 1.8736
-3.3590 -1.8673 4.2458

***

PBE-GGA Pm3N, optimized geometry; excess energy over the best structure of this formula in the dataset = 0.00 eV/f.u.; E_form (uncorrected) = -0.643 eV per atom; E_tot = -0.462 Ry per atom
1.0
3.7178 0.0000 0.0000
0.0000 3.7178 0.0000
-1.8589 -1.8589 7.4251
Pm N
3 1
Cartesian
1.8589 1.8589 0.0000
1.8589 1.8589 5.0588
0.0000 0.0000 2.3663
0.0000 0.0000 0.0000

***

PBE-GGA AlIn2AgI, optimized geometry; E_form (uncorrected) = 0.793 eV per atom; E_tot = -0.142 Ry per atom
1.0
6.2946 0.0000 0.0000
0.0000 5.3494 0.0000
0.0000 0.0000 6.2946
In Ag I Al
2 1 1 1
Cartesian
3.1473 0.0000 0.0000
0.0000 0.0000 3.1473
0.0000 2.6747 0.0000
0.0000 0.0000 0.0000
3.1473 2.6747 3.1473

***

PBE-GGA SrTi2O5, optimized geometry; excess energy over the best structure of this formula in the dataset = 1.22 eV/f.u.; E_form (uncorrected) = -2.896 eV per atom; E_tot = -0.601 Ry per atom
1.0
-2.9377 -0.6136 -1.0976
-2.7694 -3.0575 4.4700
-3.7749 2.0423 4.3101
Sr O Ti
1 5 2
Cartesian
0.0000 0.0000 0.0000
-5.0684 -2.1791 5.4805
-4.4136 0.5503 2.2020
-3.2721 -0.5076 4.3900
-3.9011 -2.0491 2.2835
-5.5809 0.4204 5.3990
-2.6086 -0.4337 2.5726
-6.8735 -1.1950 5.1099

***

PBE-GGA AcAl2Fe2B, optimized geometry; E_tot = -0.454 Ry per atom
1.0
4.0335 0.0000 0.0000
0.0000 4.0335 0.0000
0.0000 0.0000 5.9159
Fe B Ac Al
2 1 1 2
Cartesian
0.0000 2.0168 0.0000
2.0168 0.0000 0.0000
0.0000 0.0000 0.0000
0.0000 0.0000 2.9579
2.0168 2.0168 1.3806
2.0168 2.0168 4.5353

***

PBE-GGA Cd2PbBr, optimized geometry; excess energy over the best structure of this formula in the dataset = 0.00 eV/f.u.; E_form (uncorrected) = -0.179 eV per atom; E_tot = -0.146 Ry per atom
1.0
8.7711 0.0333 0.0199
7.8321 3.9487 0.0199
7.8321 1.8784 3.4734
Cd Br Pb
2 1 1
Cartesian
12.1951 2.9247 1.7534
0.0226 0.0054 0.0032
18.3265 4.3952 2.6349
6.1088 1.4651 0.8783

***

PBE-GGA ZnAsPb2, optimized geometry; excess energy over the best structure of this formula in the dataset = 0.57 eV/f.u.; E_tot = -0.232 Ry per atom
1.0
0.0000 3.7115 3.7115
3.7115 0.0000 3.7115
3.7115 3.7115 0.0000
As Pb Zn
1 2 1
Cartesian
3.7115 3.7115 3.7115
5.5673 5.5673 5.5673
1.8558 1.8558 1.8558
0.0000 0.0000 0.0000